Record 1
A plane-wave DFT calculation with PBE was carried out for a geometry-optimized SrPm2Mg structure.

```
SrPm2Mg
1.0
1.8174 1.0493 12.6765
-1.8174 1.0493 12.6765
0.0000 -2.0986 12.6765
Sr Pm Mg
1 2 1
Cartesian
0.0000 0.0000 0.0000
0.0000 0.0000 3.6810
0.0000 0.0000 34.3486
0.0000 0.0000 19.0148
```

Computed properties:
V in Å³/f.u.: 145.0
E above lowest polymorph in meV/atom: 198
VASP energy in eV per atom: -2.954
Total moment in μB/cell: 0.00
ΔE_f in meV/atom: 240

***

Record 2
A plane-wave DFT calculation with PBE was carried out for a geometry-optimized Sr3PmMg8 structure.

```
Sr3PmMg8
1.0
3.1762 1.8338 10.3428
-3.1762 1.8338 10.3428
0.0000 -3.6676 10.3428
Sr Pm Mg
3 1 8
Cartesian
0.0000 0.0000 0.0000
0.0000 0.0000 3.9274
0.0000 0.0000 15.6218
0.0000 0.0000 19.4588
-1.6060 -0.9272 12.2789
0.0000 -1.8313 7.2227
-1.5859 0.9156 7.2227
0.0000 0.0000 9.7291
1.6060 -0.9272 12.2789
0.0000 1.8545 12.2789
1.5859 0.9156 7.2227
0.0000 0.0000 25.2675
```

Computed properties:
V in Å³/f.u.: 361.4
VASP energy in eV per atom: -1.970
Total moment in μB/cell: 0.00
ΔE_f in meV/atom: -90

***

Record 3
A plane-wave DFT calculation with PBE was carried out for a geometry-optimized Sr3PmMg4 structure.

```
Sr3PmMg4
1.0
4.0508 0.0000 0.0000
0.0000 4.0508 0.0000
0.0000 0.0000 16.7742
Sr Pm Mg
3 1 4
Cartesian
0.0000 0.0000 0.0000
0.0000 0.0000 4.3829
0.0000 0.0000 12.3913
0.0000 0.0000 8.3871
2.0254 2.0254 2.1928
2.0254 2.0254 6.6105
2.0254 2.0254 10.1637
2.0254 2.0254 14.5814
```

Computed properties:
V in Å³/f.u.: 275.3
VASP energy in eV per atom: -2.079
Total moment in μB/cell: 0.01
ΔE_f in meV/atom: -57

***

> Which formula does entry 2 have?

Sr3PmMg8

***

> Number 2 is which compound?

Sr3PmMg8